[1]
## KGa4Ag8 (PBE-GGA)

Data for crystalline KGa4Ag8 at its relaxed geometry.

Summary:
Crystal system: tetragonal
ΔE_f (eV/f.u.): -0.23

abc: 5.312 7.313 7.313
angles: 82.42 68.71 68.71
Fractional coordinates of all 13 atoms:
K: 0.000 0.000 0.000
Ga: 0.000 0.000 0.500
Ga: 0.500 0.000 0.500
Ga: 0.000 0.500 0.000
Ga: 0.500 0.500 0.000
Ag: 0.000 0.352 0.648
Ag: 0.000 0.648 0.352
Ag: 0.352 0.648 0.648
Ag: 0.648 0.352 0.352
Ag: 0.500 0.779 0.221
Ag: 0.500 0.221 0.779
Ag: 0.279 0.221 0.221
Ag: 0.721 0.779 0.779


[2]
## NbMoHPd2 (PBE-GGA)

Data for crystalline NbMoHPd2 at its relaxed geometry.

Summary:
Crystal system: tetragonal

abc: 3.932 3.932 4.262
angles: 90.00 90.00 90.00
Fractional coordinates of all 5 atoms:
H: 0.000 0.000 0.000
Mo: 0.000 0.000 0.500
Nb: 0.500 0.500 0.500
Pd: 0.000 0.500 0.000
Pd: 0.500 0.000 0.000


[3]
## LiFeHgPt2 (PBE-GGA)

Data for crystalline LiFeHgPt2 at its relaxed geometry.

Summary:
Crystal system: tetragonal
ΔE_f (eV/f.u.): 2.72

abc: 4.290 4.449 4.290
angles: 90.00 90.00 90.00
Fractional coordinates of all 5 atoms:
Li: 0.000 0.000 0.000
Hg: 0.000 0.500 0.000
Pt: 0.000 0.000 0.500
Pt: 0.500 0.000 0.000
Fe: 0.500 0.500 0.500


[4]
## Tl2TeAs (PBE-GGA)

Data for crystalline Tl2TeAs at its relaxed geometry.

Summary:
Crystal system: orthorhombic
E above lowest polymorph (eV/atom): 0.014
Formation energy (no corrections) (eV per formula unit): 0.09

abc: 6.562 6.562 6.562
angles: 146.93 128.13 62.90
Fractional coordinates of all 4 atoms:
Tl: 0.003 0.003 0.000
Tl: 0.718 0.218 0.500
Te: 0.299 0.799 0.500
As: 0.481 0.481 0.000


[5]
## Pu3Mg4ZnN8 (PBE-GGA)

Data for crystalline Pu3Mg4ZnN8 at its relaxed geometry.

Summary:
Crystal system: trigonal
Formation energy (no corrections) (eV per formula unit): -12.97

abc: 6.590 6.462 6.591
angles: 120.66 119.99 90.00
Fractional coordinates of all 16 atoms:
Pu: 0.500 0.500 0.000
Pu: 0.500 0.500 0.500
Pu: 0.000 0.500 0.500
Mg: 0.500 0.000 0.000
Mg: 0.500 0.000 0.500
Mg: 0.000 0.000 0.000
Mg: 0.000 0.000 0.500
Zn: 0.000 0.500 0.000
N: 0.253 0.741 0.989
N: 0.253 0.742 0.506
N: 0.250 0.249 0.499
N: 0.736 0.741 0.989
N: 0.264 0.259 0.011
N: 0.750 0.751 0.501
N: 0.747 0.258 0.494
N: 0.747 0.259 0.011


[6]
## ZrGeNF2 (PBE-GGA)

Data for crystalline ZrGeNF2 at its relaxed geometry.

Summary:
Crystal system: tetragonal
E above lowest polymorph (eV/atom): 0.000
Formation energy (no corrections) (eV per formula unit): -7.14

abc: 4.251 4.251 4.272
angles: 90.00 90.00 90.00
Fractional coordinates of all 5 atoms:
Ge: 0.500 0.500 0.500
N: 0.000 0.000 0.500
Zr: 0.000 0.000 0.000
F: 0.000 0.500 0.000
F: 0.500 0.000 0.000


[7]
## Pr6SmDy2Er (PBE-GGA)

Data for crystalline Pr6SmDy2Er at its relaxed geometry.

Summary:
Crystal system: monoclinic
ΔE_f (eV/f.u.): 1.14

abc: 9.733 9.017 9.017
angles: 117.60 93.86 93.86
Fractional coordinates of all 20 atoms:
Pr: 0.054 0.116 0.761
Pr: 0.446 0.239 0.884
Pr: 0.946 0.884 0.239
Pr: 0.554 0.761 0.116
Pr: 0.311 0.993 0.436
Pr: 0.189 0.564 0.007
Pr: 0.689 0.007 0.564
Pr: 0.811 0.436 0.993
Pr: 0.118 0.706 0.489
Pr: 0.382 0.511 0.294
Pr: 0.882 0.294 0.511
Pr: 0.618 0.489 0.706
Sm: 0.250 0.973 0.027
Sm: 0.750 0.027 0.973
Dy: 0.453 0.799 0.702
Dy: 0.047 0.298 0.201
Dy: 0.547 0.201 0.298
Dy: 0.953 0.702 0.799
Er: 0.250 0.412 0.588
Er: 0.750 0.588 0.412


[8]
## KBa2Cd12Pt3 (PBE-GGA)

Data for crystalline KBa2Cd12Pt3 at its relaxed geometry.

Summary:
Crystal system: trigonal
ΔE_f (eV/f.u.): -1.50

abc: 9.494 9.494 9.494
angles: 60.95 60.95 60.95
Fractional coordinates of all 18 atoms:
K: 0.000 0.000 0.000
Ba: 0.593 0.593 0.593
Ba: 0.407 0.407 0.407
Cd: 0.311 0.311 0.857
Cd: 0.834 0.834 0.503
Cd: 0.503 0.834 0.834
Cd: 0.857 0.311 0.311
Cd: 0.834 0.503 0.834
Cd: 0.311 0.857 0.311
Cd: 0.689 0.689 0.143
Cd: 0.166 0.166 0.497
Cd: 0.497 0.166 0.166
Cd: 0.143 0.689 0.689
Cd: 0.166 0.497 0.166
Cd: 0.689 0.143 0.689
Pt: 0.500 0.000 0.000
Pt: 0.000 0.500 0.000
Pt: 0.000 0.000 0.500


[9]
## BeInCl2 (PBE-GGA)

Data for crystalline BeInCl2 at its relaxed geometry.

Summary:
Crystal system: trigonal
E above lowest polymorph (eV/atom): 0.000
Formation energy (no corrections) (eV per formula unit): -2.99

abc: 11.900 11.900 11.900
angles: 15.69 15.69 15.69
Fractional coordinates of all 4 atoms:
Be: 0.500 0.500 0.500
Cl: 0.869 0.869 0.869
Cl: 0.131 0.131 0.131
In: 0.000 0.000 0.000


[10]
## ScNb2Rh9 (PBE-GGA)

Data for crystalline ScNb2Rh9 at its relaxed geometry.

Summary:
Crystal system: tetragonal
ΔE_f (eV/f.u.): -6.64

abc: 3.913 3.913 11.748
angles: 90.00 90.00 90.00
Fractional coordinates of all 12 atoms:
Sc: 0.000 0.000 0.000
Nb: 0.000 0.000 0.331
Nb: 0.000 0.000 0.669
Rh: 0.500 0.500 0.000
Rh: 0.500 0.500 0.336
Rh: 0.500 0.500 0.664
Rh: 0.500 0.000 0.172
Rh: 0.500 0.000 0.500
Rh: 0.500 0.000 0.828
Rh: 0.000 0.500 0.172
Rh: 0.000 0.500 0.500
Rh: 0.000 0.500 0.828


[11]
## Hf6Mg2Zr3 (PBE-GGA)

Data for crystalline Hf6Mg2Zr3 at its relaxed geometry.

Summary:
Crystal system: hexagonal
ΔE_f (eV/f.u.): 5.55

abc: 4.865 8.079 8.079
angles: 120.00 90.00 90.00
Fractional coordinates of all 11 atoms:
Hf: 0.500 0.213 0.000
Hf: 0.500 0.787 0.787
Hf: 0.000 0.777 0.000
Hf: 0.000 0.000 0.777
Hf: 0.500 0.000 0.213
Hf: 0.000 0.223 0.223
Mg: 0.000 0.667 0.333
Mg: 0.000 0.333 0.667
Zr: 0.500 0.565 0.000
Zr: 0.500 0.000 0.565
Zr: 0.500 0.435 0.435


[12]
## UAgGe2 (PBE-GGA)

Data for crystalline UAgGe2 at its relaxed geometry.

Summary:
Crystal system: trigonal
ΔE_f (eV/f.u.): 2.54

abc: 4.746 4.746 7.145
angles: 70.60 70.60 60.00
Fractional coordinates of all 4 atoms:
Ge: 0.127 0.127 0.620
Ge: 0.873 0.873 0.380
U: 0.500 0.500 0.500
Ag: 0.000 0.000 0.000


[13]
## PmPrZnGe (PBE-GGA)

Data for crystalline PmPrZnGe at its relaxed geometry.

Summary:
Crystal system: orthorhombic
E above lowest polymorph (eV/atom): 0.000
ΔE_f (eV/f.u.): -2.33

abc: 4.353 4.192 6.059
angles: 90.00 111.05 90.00
Fractional coordinates of all 4 atoms:
Pm: 0.860 0.500 0.721
Pr: 0.144 0.000 0.289
Zn: 0.569 0.500 0.137
Ge: 0.426 0.000 0.853


[14]
## LiMg (PBE-GGA)

Data for crystalline LiMg at its relaxed geometry.

Summary:
Crystal system: cubic
ΔE_f (eV/f.u.): 0.45

abc: 3.981 3.981 3.981
angles: 60.00 60.00 60.00
Fractional coordinates of all 2 atoms:
Li: 0.000 0.000 0.000
Mg: 0.500 0.500 0.500


[15]
## ZrOs2SCl (PBE-GGA)

Data for crystalline ZrOs2SCl at its relaxed geometry.

Summary:
Crystal system: tetragonal
Formation energy (no corrections) (eV per formula unit): 8.74

abc: 5.141 5.141 4.869
angles: 90.00 90.00 90.00
Fractional coordinates of all 5 atoms:
S: 0.000 0.000 0.500
Os: 0.000 0.500 0.000
Os: 0.500 0.000 0.000
Zr: 0.000 0.000 0.000
Cl: 0.500 0.500 0.500


What uncorrected energy values result from the calculations? In sequence: -0.2049 -0.5159 -0.2945 -0.2285 -0.5982 -0.4759 -0.3383 -0.1452 -0.2415 -0.6081 -0.5546 -0.3829 -0.3261 -0.1124 -0.4152 Ry per atom.